(1)
Computed, not measured: a geometry-optimized ScAlZnTc structure at the PBE level of DFT.

Lattice parameters (Å, degrees): 4.483 4.483 4.483 60.00 60.00 60.00
Element x y z (fractional)
Sc  0.250  0.250  0.250
Zn  0.000  0.000  0.000
Tc  0.500  0.500  0.500
Al  0.750  0.750  0.750

As for the calculated total energy: -22.59 eV per cell. Its formation energy is -84 kJ/mol of formula units. As for the calculated volume: 63.7 Å³ per cell. For the size of the total moment, the calculation gives 0.0 μB per formula unit.

=====

(2)
Computed, not measured: a geometry-optimized Sr2AlHg2Au4 structure at the PBE level of DFT.

Lattice parameters (Å, degrees): 6.721 6.721 6.721 92.28 118.69 118.69
Element x y z (fractional)
Sr  0.500  0.750  0.250
Sr  0.500  0.250  0.750
Al  0.000  0.000  0.000
Hg  0.000  0.704  0.704
Hg  0.000  0.296  0.296
Au  0.000  0.736  0.264
Au  0.472  0.736  0.736
Au  0.000  0.264  0.736
Au  0.528  0.264  0.264

As for the calculated total energy: -25.40 eV per cell. Its formation energy is -442 kJ/mol of formula units. As for the calculated volume: 218.8 Å³ per cell. For the size of the total moment, the calculation gives 0.0 μB per formula unit.

=====

(3)
Computed, not measured: a geometry-optimized Ce2DyTh2Hg5 structure at the PBE level of DFT.

Lattice parameters (Å, degrees): 4.692 10.882 10.882 90.00 90.00 90.00
Element x y z (fractional)
Ce  0.000  0.132  0.632
Ce  0.000  0.868  0.368
Ce  0.000  0.632  0.868
Ce  0.000  0.368  0.132
Dy  0.000  0.000  0.000
Dy  0.000  0.500  0.500
Th  0.000  0.675  0.175
Th  0.000  0.325  0.825
Th  0.000  0.175  0.325
Th  0.000  0.825  0.675
Hg  0.500  0.173  0.103
Hg  0.500  0.827  0.897
Hg  0.500  0.103  0.827
Hg  0.500  0.673  0.397
Hg  0.500  0.897  0.173
Hg  0.500  0.327  0.603
Hg  0.500  0.603  0.673
Hg  0.500  0.397  0.327
Hg  0.500  0.500  0.000
Hg  0.500  0.000  0.500

As for the calculated total energy: -68.21 eV per cell. Its formation energy is -124 kJ/mol of formula units. As for the calculated volume: 555.6 Å³ per cell. For the size of the total moment, the calculation gives 1.9 μB per formula unit.

=====

(4)
Computed, not measured: a geometry-optimized Ac3Pm2Ho structure at the PBE level of DFT.

Lattice parameters (Å, degrees): 7.148 9.417 7.148 82.47 83.80 97.53
Element x y z (fractional)
Ac  0.554  0.250  0.554
Ac  0.446  0.750  0.446
Ac  0.131  0.978  0.706
Ac  0.706  0.522  0.131
Ac  0.294  0.478  0.869
Ac  0.869  0.022  0.294
Pm  0.885  0.618  0.616
Pm  0.384  0.118  0.115
Pm  0.616  0.882  0.885
Pm  0.115  0.382  0.384
Ho  0.123  0.750  0.123
Ho  0.877  0.250  0.877

As for the calculated total energy: -51.35 eV per cell. Its formation energy is 70 kJ/mol of formula units. As for the calculated volume: 469.1 Å³ per cell. For the size of the total moment, the calculation gives 0.0 μB per formula unit.

=====

Please write out number 4 again, unchanged.
Computed, not measured: a geometry-optimized Ac3Pm2Ho structure at the PBE level of DFT.

Lattice parameters (Å, degrees): 7.148 9.417 7.148 82.47 83.80 97.53
Element x y z (fractional)
Ac  0.554  0.250  0.554
Ac  0.446  0.750  0.446
Ac  0.131  0.978  0.706
Ac  0.706  0.522  0.131
Ac  0.294  0.478  0.869
Ac  0.869  0.022  0.294
Pm  0.885  0.618  0.616
Pm  0.384  0.118  0.115
Pm  0.616  0.882  0.885
Pm  0.115  0.382  0.384
Ho  0.123  0.750  0.123
Ho  0.877  0.250  0.877

As for the calculated total energy: -51.35 eV per cell. Its formation energy is 70 kJ/mol of formula units. As for the calculated volume: 469.1 Å³ per cell. For the size of the total moment, the calculation gives 0.0 μB per formula unit.